1.
The following is a PBE calculation of a relaxed Y4PaN5 crystal, from Alexandria.

Cell and atoms, written as POSCAR:
```
Y4PaN5
1.0
-3.8904 3.8904 2.4631
3.8904 -3.8904 2.4631
3.8904 3.8904 -2.4631
Y Pa N
4 1 5
Direct
0.0992 0.3023 0.4015
0.3023 0.9008 0.2032
0.6977 0.0992 0.7968
0.9008 0.6977 0.5985
0.5000 0.5000 0.0000
0.0000 0.0000 0.0000
0.2129 0.5937 0.8066
0.4063 0.2129 0.6192
0.5937 0.7871 0.3808
0.7871 0.4063 0.1934
```

- raw formation energy (eV per atom) = -1.72
- symmetry = I4/m



2.
The following is a PBE calculation of a relaxed TbSm5Ho12 crystal, from Alexandria.

Cell and atoms, written as POSCAR:
```
TbSm5Ho12
1.0
5.6268 -8.6396 0.0000
5.6268 8.6396 0.0000
-0.0017 0.0000 5.9364
Tb Sm Ho
1 5 12
Direct
0.0000 0.0000 0.0000
0.1658 0.8342 0.5000
0.3342 0.6658 0.0000
0.5000 0.5000 0.5000
0.6658 0.3342 0.0000
0.8342 0.1658 0.5000
0.0093 0.3421 0.9495
0.1569 0.4904 0.4494
0.1765 0.1765 0.5541
0.3216 0.3216 0.0540
0.3421 0.0093 0.9495
0.4904 0.1569 0.4494
0.5096 0.8431 0.5506
0.6579 0.9907 0.0505
0.6784 0.6784 0.9460
0.8235 0.8235 0.4459
0.8431 0.5096 0.5506
0.9907 0.6579 0.0505
```

- symmetry = C2/m
- ΔE_f (meV/atom) = 109.4



3.
The following is a PBE calculation of a relaxed LiTbTlSn crystal, from Alexandria.

Cell and atoms, written as POSCAR:
```
LiTbTlSn
1.0
0.0000 3.6758 3.6758
3.6758 0.0000 3.6758
3.6758 3.6758 0.0000
Li Tb Tl Sn
1 1 1 1
Direct
0.0000 0.0000 0.0000
0.5000 0.5000 0.5000
0.7500 0.7500 0.7500
0.2500 0.2500 0.2500
```

- energy above the lowest structure with this stoichiometry (eV/f.u.) = 0.24
- symmetry = F-43m
- ΔE_f (meV/atom) = -382.7